DFT (PBE-GGA) results for crystalline Ca2Al2SiRh5 at its relaxed geometry.

a = 10.2481 Å, b = 10.2481 Å, c = 3.0903 Å
α = 90.00°, β = 90.00°, γ = 90.00°
Fractional coordinates of all 20 atoms:
Ca 0.1717 0.3283 0.0000
Ca 0.3283 0.8283 0.0000
Ca 0.6717 0.1717 0.0000
Ca 0.8283 0.6717 0.0000
Al 0.1306 0.6306 0.0000
Al 0.3694 0.1306 0.0000
Al 0.6306 0.8694 0.0000
Al 0.8694 0.3694 0.0000
Si 0.0000 0.0000 0.0000
Si 0.5000 0.5000 0.0000
Rh 0.0000 0.5000 0.5000
Rh 0.0622 0.8100 0.5000
Rh 0.1900 0.0622 0.5000
Rh 0.3100 0.5622 0.5000
Rh 0.4378 0.3100 0.5000
Rh 0.5000 0.0000 0.5000
Rh 0.5622 0.6900 0.5000
Rh 0.6900 0.4378 0.5000
Rh 0.8100 0.9378 0.5000
Rh 0.9378 0.1900 0.5000

Values from the calculation:
formation energy without anion corrections: -0.73 eV/atom
final energy: -121.87 eV for the cell shown
space-group type: P4/mbm


DFT (PBE-GGA) results for crystalline KMnMo2 at its relaxed geometry.

a = 2.7436 Å, b = 2.7436 Å, c = 9.9462 Å
α = 90.00°, β = 90.00°, γ = 90.00°
Fractional coordinates of all 4 atoms:
K 0.0000 0.0000 0.0000
Mn 0.0000 0.0000 0.5000
Mo 0.5000 0.5000 0.3271
Mo 0.5000 0.5000 0.6729

Values from the calculation:
final energy: -28.48 eV for the cell shown
E_form: 0.861 eV/atom
space-group type: P4/mmm
offset from the most stable computed form: 0.1079 eV per atom


DFT (PBE-GGA) results for crystalline Tb4Zn2Ag3 at its relaxed geometry.

a = 5.0318 Å, b = 5.0318 Å, c = 9.3370 Å
α = 90.00°, β = 90.00°, γ = 120.00°
Fractional coordinates of all 9 atoms:
Tb 0.0000 0.0000 0.1654
Tb 0.0000 0.0000 0.8346
Tb 0.3333 0.6667 0.6141
Tb 0.6667 0.3333 0.3859
Zn 0.3333 0.6667 0.2791
Zn 0.6667 0.3333 0.7209
Ag 0.0000 0.0000 0.5000
Ag 0.3333 0.6667 0.9802
Ag 0.6667 0.3333 0.0198

Values from the calculation:
final energy: -31.81 eV for the cell shown
E_form: -0.243 eV/atom
space-group type: P-3m1


DFT (PBE-GGA) results for crystalline LaTcAs2Se at its relaxed geometry.

a = 4.7000 Å, b = 4.7000 Å, c = 5.4733 Å
α = 90.00°, β = 90.00°, γ = 90.00°
Fractional coordinates of all 5 atoms:
La 0.0000 0.0000 0.0000
Tc 0.5000 0.5000 0.5000
As 0.0000 0.5000 0.5000
As 0.5000 0.0000 0.5000
Se 0.5000 0.5000 0.0000

Values from the calculation:
formation energy without anion corrections: -0.45 eV/atom
final energy: -30.33 eV for the cell shown
space-group type: P4/mmm
offset from the most stable computed form: 0.0000 eV per atom


DFT (PBE-GGA) results for crystalline AgTe2Mo at its relaxed geometry.

a = 6.0992 Å, b = 3.5232 Å, c = 8.7153 Å
α = 90.00°, β = 103.87°, γ = 90.00°
Fractional coordinates of all 8 atoms:
Ag 0.0000 0.0000 0.0000
Ag 0.5000 0.5000 0.0000
Te 0.2425 0.0000 0.7211
Te 0.2575 0.5000 0.2789
Te 0.7425 0.5000 0.7211
Te 0.7575 0.0000 0.2789
Mo 0.0000 0.5000 0.5000
Mo 0.5000 0.0000 0.5000

Values from the calculation:
formation energy without anion corrections: 0.10 eV/atom
final energy: -39.11 eV for the cell shown
space-group type: C2/m
offset from the most stable computed form: 0.0000 eV per atom


DFT (PBE-GGA) results for crystalline TiGa3Br at its relaxed geometry.

a = 5.1431 Å, b = 5.1431 Å, c = 5.1431 Å
α = 90.00°, β = 90.00°, γ = 90.00°
Fractional coordinates of all 5 atoms:
Ti 0.0000 0.0000 0.0000
Ga 0.0000 0.5000 0.5000
Ga 0.5000 0.0000 0.5000
Ga 0.5000 0.5000 0.0000
Br 0.5000 0.5000 0.5000

Values from the calculation:
formation energy without anion corrections: 0.93 eV/atom
final energy: -14.00 eV for the cell shown
space-group type: Pm-3m
offset from the most stable computed form: 0.5703 eV per atom


DFT (PBE-GGA) results for crystalline SrCdCl2O at its relaxed geometry.

a = 6.5394 Å, b = 6.5394 Å, c = 8.6914 Å
α = 90.00°, β = 90.00°, γ = 144.09°
Fractional coordinates of all 10 atoms:
Sr 0.1848 0.8152 0.7500
Sr 0.8152 0.1848 0.2500
Cd 0.5000 0.5000 0.0000
Cd 0.5000 0.5000 0.5000
Cl 0.1436 0.8564 0.0718
Cl 0.1436 0.8564 0.4282
Cl 0.8564 0.1436 0.5718
Cl 0.8564 0.1436 0.9282
O 0.4269 0.5731 0.2500
O 0.5731 0.4269 0.7500

Values from the calculation:
formation energy without anion corrections: -1.76 eV/atom
final energy: -40.13 eV for the cell shown
space-group type: Cmcm


DFT (PBE-GGA) results for crystalline Ba2CoGeN at its relaxed geometry.

a = 5.9111 Å, b = 5.9111 Å, c = 3.5351 Å
α = 90.00°, β = 90.00°, γ = 90.00°
Fractional coordinates of all 5 atoms:
Ba 0.0000 0.5000 0.0000
Ba 0.5000 0.0000 0.0000
Co 0.0000 0.0000 0.5000
Ge 0.5000 0.5000 0.5000
N 0.0000 0.0000 0.0000

Values from the calculation:
formation energy without anion corrections: -0.34 eV/atom
final energy: -25.58 eV for the cell shown
space-group type: P4/mmm
offset from the most stable computed form: 0.0000 eV per atom


DFT (PBE-GGA) results for crystalline LiTl2Hg7 at its relaxed geometry.

a = 4.3682 Å, b = 4.3682 Å, c = 14.5647 Å
α = 90.00°, β = 90.00°, γ = 90.00°
Fractional coordinates of all 10 atoms:
Li 0.0000 0.0000 0.0000
Tl 0.0000 0.5000 0.7567
Tl 0.5000 0.0000 0.2433
Hg 0.0000 0.0000 0.5000
Hg 0.0000 0.5000 0.1394
Hg 0.0000 0.5000 0.3443
Hg 0.5000 0.0000 0.6557
Hg 0.5000 0.0000 0.8606
Hg 0.5000 0.5000 0.0000
Hg 0.5000 0.5000 0.5000

Values from the calculation:
final energy: -9.17 eV for the cell shown
E_form: -0.041 eV/atom
space-group type: P-4m2
offset from the most stable computed form: 0.0000 eV per atom


DFT (PBE-GGA) results for crystalline KAc2SnO6 at its relaxed geometry.

a = 6.5143 Å, b = 6.5143 Å, c = 6.5143 Å
α = 56.69°, β = 56.69°, γ = 56.69°
Fractional coordinates of all 10 atoms:
K 0.0000 0.0000 0.0000
Ac 0.2684 0.2684 0.2684
Ac 0.7787 0.7787 0.7787
Sn 0.4822 0.4822 0.4822
O 0.1284 0.6416 0.4091
O 0.2308 0.5709 0.8265
O 0.4091 0.1284 0.6416
O 0.5709 0.8265 0.2308
O 0.6416 0.4091 0.1284
O 0.8265 0.2308 0.5709

Values from the calculation:
formation energy without anion corrections: -2.31 eV/atom
final energy: -66.17 eV for the cell shown
space-group type: R3


DFT (PBE-GGA) results for crystalline SrOs3 at its relaxed geometry.

a = 4.8857 Å, b = 4.8857 Å, c = 2.8999 Å
α = 90.00°, β = 90.00°, γ = 90.00°
Fractional coordinates of all 4 atoms:
Sr 0.0000 0.0000 0.0000
Os 0.0000 0.5000 0.5000
Os 0.5000 0.0000 0.5000
Os 0.5000 0.5000 0.0000

Values from the calculation:
final energy: -30.47 eV for the cell shown
E_form: 1.226 eV/atom
space-group type: P4/mmm


DFT (PBE-GGA) results for crystalline SrTc2Ag at its relaxed geometry.

a = 2.9025 Å, b = 4.8824 Å, c = 10.8544 Å
α = 90.00°, β = 90.00°, γ = 90.00°
Fractional coordinates of all 8 atoms:
Sr 0.0000 0.0000 0.0000
Sr 0.5000 0.5000 0.5000
Tc 0.0000 0.5000 0.2283
Tc 0.0000 0.5000 0.7717
Tc 0.5000 0.0000 0.2717
Tc 0.5000 0.0000 0.7283
Ag 0.0000 0.0000 0.5000
Ag 0.5000 0.5000 0.0000

Values from the calculation:
final energy: -44.04 eV for the cell shown
E_form: 0.811 eV/atom
space-group type: Immm
offset from the most stable computed form: 0.4678 eV per atom